First-principles (PBE) data for an optimized crystal structure of ZrHg2Ir, as listed in Alexandria via LeMat-Bulk.

- Symmetry: Cmmm, No. 65
- Energy of formation from the pure elements: 200 meV/atom
- V: 19.6 Å³ per atom

Cell and atoms, written as extended XYZ:
```
8
Lattice="5.638 0.000 0.000 0.000 9.232 0.000 0.000 0.000 3.018" Properties=species:S:1:pos:R:3 pbc="T T T"
Zr 0.000 0.000 0.000
Zr 2.819 4.616 0.000
Hg 1.409 2.308 1.509
Hg 1.409 6.924 1.509
Hg 4.228 2.308 1.509
Hg 4.228 6.924 1.509
Ir 0.000 4.616 0.000
Ir 2.819 0.000 0.000
```